! GaAgO2, single point on PBEsol structure, DFT SCAN; values from VASP
! - energy relative to the elements, uncorrected (eV/atom) = -1.32
! - crystal system = tetragonal
! - SG = No. 122
&SYSTEM
  ibrav = 0, nat = 8, ntyp = 3
/
ATOMIC_SPECIES
Ga 69.72 Ga.upf
Ag 107.87 Ag.upf
O 16.00 O.upf
CELL_PARAMETERS angstrom
-2.528 2.528 4.186
2.528 -2.528 4.186
2.528 2.528 -4.186
ATOMIC_POSITIONS crystal
Ga 0.000 0.000 0.000
Ga 0.750 0.250 0.500
Ag 0.250 0.750 0.500
Ag 0.500 0.500 0.000
O 0.044 0.625 0.919
O 0.375 0.294 0.419
O 0.706 0.125 0.081
O 0.875 0.956 0.581